# Ho5ErRu3 (PBE, relaxed)
# DFT total energy = -6.369 eV/atom
data_Ho5ErRu3
_chemical_formula_sum 'Ho20 Er4 Ru12'
_symmetry_space_group_name_H-M 'C 1 2/m 1'
_symmetry_Int_Tables_number 12
_symmetry_space_group_name_Hall '-C 2y'
_cell_length_a 12.2063
_cell_length_b 8.9868
_cell_length_c 9.8751
_cell_angle_alpha 90.00
_cell_angle_beta 112.58
_cell_angle_gamma 90.00
loop_
_atom_site_label
_atom_site_type_symbol
_atom_site_fract_x
_atom_site_fract_y
_atom_site_fract_z
Ho1 Ho 0.0000 0.1995 0.0000
Ho2 Ho 0.0646 0.0000 0.3661
Ho3 Ho 0.1676 0.3010 0.6654
Ho4 Ho 0.2331 0.5000 0.0344
Er1 Er 0.0990 0.5000 0.2988
Ru1 Ru 0.0000 0.5000 0.0000
Ru2 Ru 0.0000 0.5000 0.5000
Ru3 Ru 0.1662 0.0000 0.1664
Ru4 Ru 0.1681 0.0000 0.6655